[1]
VASP calculation (PBE-GGA) on an optimized crystal structure of NdGaNi.

Properties
Uncorrected energy (eV/cell): -60.21

Lattice parameters (Å, degrees): 6.9851 4.3392 7.6301 90.00 90.00 90.00
Positions (direct):
Ni 0.7152 0.7500 0.1099
Ni 0.2848 0.2500 0.8901
Ni 0.7848 0.2500 0.6100
Ni 0.2152 0.7500 0.3900
Ga 0.6547 0.2500 0.9316
Ga 0.1547 0.2500 0.5684
Ga 0.3453 0.7500 0.0684
Ga 0.8453 0.7500 0.4316
Nd 0.9681 0.7500 0.8135
Nd 0.5319 0.2500 0.3135
Nd 0.0319 0.2500 0.1865
Nd 0.4681 0.7500 0.6865


[2]
VASP calculation (PBE-GGA) on an optimized crystal structure of LaPr2Si4Pt4.

Properties
Uncorrected energy (eV/cell): -72.57

Lattice parameters (Å, degrees): 12.5678 12.5678 12.5678 160.42 160.41 27.84
Positions (direct):
Si 0.4503 0.4503 0.0000
Si 0.1967 0.6967 0.5000
Si 0.5497 0.5497 0.0000
Si 0.8033 0.3033 0.5000
Pt 0.0976 0.5976 0.5000
Pt 0.9024 0.4024 0.5000
Pt 0.7531 0.7531 0.0000
Pt 0.2469 0.2469 0.0000
Pr 0.6463 0.1463 0.5000
Pr 0.3537 0.8537 0.5000
La 0.0000 0.0000 0.0000